No. 1
Ba2DyMg3Pb4 PBE-GGA optimized geometry; energy relative to the elements = -409 meV per atom; raw total energy = -0.236 Ry per atom; space group = P-4m2
1.0
5.150 0.000 0.000
0.000 5.150 0.000
0.000 0.000 12.326
Ba Dy Mg Pb
2 1 3 4
Cartesian
0.000 2.575 2.863
2.575 0.000 9.463
0.000 0.000 6.163
0.000 2.575 10.789
2.575 0.000 1.537
2.575 2.575 6.163
0.000 0.000 0.000
0.000 2.575 7.885
2.575 0.000 4.441
2.575 2.575 0.000



No. 2
Ba3Dy3MgSe8 PBE-GGA optimized geometry; raw total energy = -0.374 Ry per atom; space group = R-3m
1.0
4.212 2.432 7.498
-4.212 2.432 7.498
0.000 -4.864 7.498
Ba Dy Mg Se
3 3 1 8
Cartesian
-2.106 -1.216 7.498
-2.106 1.216 14.997
0.000 2.432 7.498
-4.212 0.000 11.248
-2.106 1.216 3.749
2.106 1.216 3.749
0.000 0.000 11.248
0.000 0.000 5.349
-2.085 -1.204 12.794
0.000 -2.408 9.702
-2.085 1.204 9.702
2.085 -1.204 12.793
0.000 2.408 12.793
2.085 1.204 9.702
0.000 0.000 17.146